[1]
## Er3In3Ag (PBE)

Data for an optimized crystal structure of Er3In3Ag.

## Properties
The magnetic moment comes out at 0.00 μB per cell. The space group is C2/m (12). For the calculated total energy, the calculation gives -3.9157 eV per atom.

```
Er3In3Ag
1.0
-3.7514 -2.6930 -0.2303
1.3629 -5.7680 -1.1672
-0.4019 -4.5700 13.5714
Er In Ag
6 6 2
Direct
0.7283 0.7686 0.7748
0.4661 0.6854 0.3824
0.2717 0.2314 0.2252
0.3999 0.2776 0.9226
0.6001 0.7224 0.0774
0.5339 0.3146 0.6176
0.1352 0.2752 0.4543
0.8799 0.1653 0.0749
0.9873 0.7943 0.2312
0.0127 0.2057 0.7688
0.8648 0.7248 0.5457
0.1201 0.8347 0.9251
0.2395 0.9049 0.6161
0.7605 0.0951 0.3839
```

---

[2]
## Er11In9Ag4 (PBE)

Data for an optimized crystal structure of Er11In9Ag4.

## Properties
The magnetic moment comes out at 0.00 μB per cell. The space group is Cmmm (65). For the calculated total energy, the calculation gives -4.0187 eV per atom.

```
Er11In9Ag4
1.0
-2.4337 0.4764 2.7372
-1.2189 -13.1513 1.2053
9.5919 5.0326 7.6527
Er Ag In
11 4 9
Direct
0.0000 0.0636 0.4111
0.0000 0.1605 0.8395
0.0000 0.6321 0.3679
0.0000 0.0000 0.0000
0.0000 0.8395 0.1605
0.0000 0.5889 0.9364
0.0000 0.3006 0.3006
0.0000 0.9364 0.5889
0.0000 0.6994 0.6994
0.0000 0.4111 0.0636
0.0000 0.3679 0.6321
0.5000 0.4485 0.2479
0.5000 0.7521 0.5515
0.5000 0.5515 0.7521
0.5000 0.2479 0.4485
0.5000 0.2143 0.0681
0.5000 0.1556 0.6320
0.5000 0.5000 0.5000
0.5000 0.9319 0.7857
0.5000 0.3680 0.8444
0.5000 0.6320 0.1556
0.5000 0.7857 0.9319
0.5000 0.8444 0.3680
0.5000 0.0681 0.2143
```

---

[3]
## Er3InAg (PBE)

Data for an optimized crystal structure of Er3InAg.

## Properties
The magnetic moment comes out at 0.00 μB per cell. The space group is C2/c (15). As for the distance to the lowest polymorph of the same formula: 0.132 eV/atom. For the calculated total energy, the calculation gives -4.0138 eV per atom.

```
Er3InAg
1.0
6.6537 0.2136 -0.5376
3.4447 5.6966 -0.5376
2.5424 1.4880 14.2394
In Ag Er
4 4 12
Direct
0.3150 0.5720 0.0881
0.4280 0.6850 0.4119
0.5720 0.3150 0.5881
0.6850 0.4280 0.9119
0.4078 0.5922 0.7500
0.0000 0.5000 0.5000
0.5922 0.4078 0.2500
0.5000 0.0000 0.0000
0.1484 0.4695 0.9008
0.0542 0.8171 0.6065
0.0107 0.6539 0.2952
0.9458 0.1829 0.3935
0.9893 0.3461 0.7048
0.6539 0.0107 0.7952
0.4695 0.1484 0.4008
0.1829 0.9458 0.8935
0.3461 0.9893 0.2048
0.8516 0.5305 0.0992
0.8171 0.0542 0.1065
0.5305 0.8516 0.5992
```

---

[4]
## ErIn2Ag (PBE)

Data for an optimized crystal structure of ErIn2Ag.

## Properties
The magnetic moment comes out at 0.00 μB per cell. The space group is I4/mmm (139). For the calculated total energy, the calculation gives -3.5816 eV per atom.

```
ErIn2Ag
1.0
4.5094 0.0000 -1.2506
-0.3468 4.4960 -1.2506
0.0800 0.0864 9.0437
Ag Er In
2 2 4
Direct
0.7500 0.2500 0.5000
0.2500 0.7500 0.5000
0.1302 0.1302 0.2605
0.8698 0.8698 0.7395
0.0000 0.5000 0.0000
0.6445 0.6445 0.2890
0.5000 0.0000 0.0000
0.3555 0.3555 0.7110
```

---

[5]
## Er5InAg4 (PBE)

Data for an optimized crystal structure of Er5InAg4.

## Properties
The magnetic moment comes out at 0.00 μB per cell. The space group is P4/mmm (123). For the calculated total energy, the calculation gives -4.0546 eV per atom.

```
Er5InAg4
1.0
-1.7086 -2.8111 1.4158
3.0918 -1.8007 0.1559
3.0738 6.7608 17.1339
Er Ag In
5 4 1
Direct
0.5000 0.5000 0.1094
0.5000 0.5000 0.5000
0.5000 0.5000 0.6957
0.5000 0.5000 0.3043
0.5000 0.5000 0.8906
0.0000 0.0000 0.7940
0.0000 0.0000 0.5974
0.0000 0.0000 0.4026
0.0000 0.0000 0.2060
0.0000 0.0000 0.0000
```

---

[6]
## Er8InAg2 (PBE)

Data for an optimized crystal structure of Er8InAg2.

## Properties
The magnetic moment comes out at 0.01 μB per cell. The space group is C2/m (12). As for the distance to the lowest polymorph of the same formula: 0.103 eV/atom. For the calculated total energy, the calculation gives -4.1584 eV per atom.

```
Er8InAg2
1.0
-4.8392 -1.7695 1.5084
4.7975 -5.8343 3.4581
-0.0272 7.4846 3.6045
Ag Er In
2 8 1
Direct
0.0000 0.3046 0.6954
0.0000 0.6954 0.3046
0.1026 0.0921 0.3266
0.6959 0.3952 0.3952
0.8974 0.6734 0.9079
0.3041 0.6048 0.6048
0.5000 0.7718 0.2282
0.1026 0.3266 0.0921
0.5000 0.2282 0.7718
0.8974 0.9079 0.6734
0.5000 0.0000 0.0000
```

---

[7]
## ErIn2Ag (PBE)

Data for an optimized crystal structure of ErIn2Ag.

## Properties
The magnetic moment comes out at 0.00 μB per cell. The space group is Fm-3m (225). For the calculated total energy, the calculation gives -3.4588 eV per atom.

```
ErIn2Ag
1.0
-3.4210 -3.0459 -2.2168
0.3652 -1.0462 -4.9666
1.3544 -4.6620 -1.5253
In Ag Er
2 1 1
Direct
0.2500 0.2500 0.2500
0.7500 0.7500 0.7500
0.5000 0.5000 0.5000
0.0000 0.0000 0.0000
```

---

[8]
## ErIn6Ag6 (PBE)

Data for an optimized crystal structure of ErIn6Ag6.

## Properties
The magnetic moment comes out at 0.00 μB per cell. The space group is Immm (71). For the calculated total energy, the calculation gives -3.0620 eV per atom.

```
ErIn6Ag6
1.0
5.4380 0.0000 2.1736
2.6711 6.8899 1.2067
0.1614 -0.0358 7.4856
Ag In Er
6 6 1
Direct
0.0000 0.0000 0.5000
0.5000 0.7598 0.2402
0.5000 0.5000 0.0000
0.5000 0.2402 0.7598
0.0000 0.5000 0.0000
0.5000 0.0000 0.5000
0.6602 0.3398 0.3398
0.6753 0.8247 0.8247
0.0000 0.3450 0.6550
0.0000 0.6550 0.3450
0.3247 0.1753 0.1753
0.3398 0.6602 0.6602
0.0000 0.0000 0.0000
```

---

[9]
## Er5In4Ag (PBE)

Data for an optimized crystal structure of Er5In4Ag.

## Properties
The magnetic moment comes out at 0.00 μB per cell. The space group is P4/mmm (123). For the calculated total energy, the calculation gives -4.0915 eV per atom.

```
Er5In4Ag
1.0
3.5580 0.0000 0.0000
0.0000 3.5580 0.0000
0.0000 0.0000 20.1451
In Er Ag
4 5 1
Direct
0.0000 0.0000 0.8082
0.0000 0.0000 0.6030
0.0000 0.0000 0.3970
0.0000 0.0000 0.1918
0.5000 0.5000 0.9098
0.5000 0.5000 0.5000
0.5000 0.5000 0.0902
0.5000 0.5000 0.2942
0.5000 0.5000 0.7058
0.0000 0.0000 0.0000
```

---

[10]
## Er4InAg5 (PBE)

Data for an optimized crystal structure of Er4InAg5.

## Properties
The magnetic moment comes out at 0.00 μB per cell. The space group is P4/mmm (123). For the calculated total energy, the calculation gives -3.8059 eV per atom.

```
Er4InAg5
1.0
-1.4210 -2.6701 1.9740
3.0334 -0.1703 1.9532
-6.5884 11.8334 11.2640
Er Ag In
4 5 1
Direct
0.0000 0.0000 0.3967
0.0000 0.0000 0.6033
0.0000 0.0000 0.1920
0.0000 0.0000 0.8080
0.5000 0.5000 0.0967
0.5000 0.5000 0.2935
0.5000 0.5000 0.7065
0.5000 0.5000 0.5000
0.5000 0.5000 0.9033
0.0000 0.0000 0.0000
```

---

[11]
## Er6In3Ag (PBE)

Data for an optimized crystal structure of Er6In3Ag.

## Properties
The magnetic moment comes out at 0.00 μB per cell. The space group is P2_1/m (11). For the calculated total energy, the calculation gives -4.1627 eV per atom.

```
Er6In3Ag
1.0
-1.6019 -1.2587 -4.8600
-2.5180 -8.3102 2.9823
-8.9805 7.2235 1.0891
In Er Ag
6 12 2
Direct
0.7500 0.4745 0.6216
0.2500 0.5255 0.3784
0.2500 0.3816 0.7827
0.2500 0.7776 0.9718
0.7500 0.6184 0.2173
0.7500 0.2224 0.0282
0.7500 0.9037 0.1299
0.7500 0.1546 0.6908
0.2500 0.8454 0.3092
0.7500 0.7621 0.5048
0.7500 0.8623 0.8343
0.2500 0.2379 0.4952
0.7500 0.5399 0.9163
0.2500 0.1377 0.1657
0.7500 0.3297 0.3294
0.2500 0.4601 0.0837
0.2500 0.0963 0.8701
0.2500 0.6703 0.6706
0.7500 0.0413 0.3996
0.2500 0.9587 0.6004
```

---

[12]
## Er6In5Ag (PBE)

Data for an optimized crystal structure of Er6In5Ag.

## Properties
The magnetic moment comes out at 0.00 μB per cell. The space group is P2/m (10). For the calculated total energy, the calculation gives -4.0839 eV per atom.

```
Er6In5Ag
1.0
5.0005 -0.0299 1.6859
0.0395 7.3548 0.0132
0.0214 -0.0151 8.3690
Er In Ag
6 5 1
Direct
0.8353 0.7532 0.3288
0.5000 0.7542 0.0000
0.1647 0.2468 0.6712
0.8353 0.2468 0.3288
0.1647 0.7532 0.6712
0.5000 0.2458 0.0000
0.3356 0.0000 0.3279
0.0000 0.5000 0.0000
0.6681 0.5000 0.6648
0.3319 0.5000 0.3352
0.6644 0.0000 0.6721
0.0000 0.0000 0.0000
```

---

[13]
## Er3InAg (PBE)

Data for an optimized crystal structure of Er3InAg.

## Properties
The magnetic moment comes out at 0.00 μB per cell. The space group is Cmcm (63). As for the distance to the lowest polymorph of the same formula: 0.000 eV/atom. For the calculated total energy, the calculation gives -4.1461 eV per atom.

```
Er3InAg
1.0
-3.6025 -3.2380 1.4896
3.5640 -3.2844 1.4797
-1.7607 2.6359 10.0915
Er In Ag
6 2 2
Direct
0.3859 0.2500 0.8765
0.7637 0.2500 0.1210
0.5745 0.2500 0.4994
0.2624 0.7500 0.1235
0.0739 0.7500 0.5006
0.8847 0.7500 0.8790
0.9806 0.2500 0.6872
0.6678 0.7500 0.3128
0.4832 0.7500 0.6819
0.1651 0.2500 0.3181
```

---

[14]
## ErIn2Ag (PBE)

Data for an optimized crystal structure of ErIn2Ag.

## Properties
The magnetic moment comes out at 0.22 μB per cell. The space group is P4/mmm (123). For the calculated total energy, the calculation gives -3.4388 eV per atom.

```
ErIn2Ag
1.0
3.5401 0.0000 0.0000
0.0000 3.5401 0.0000
0.0000 0.0000 7.4417
In Er Ag
2 1 1
Direct
0.0000 0.0000 0.7793
0.0000 0.0000 0.2207
0.5000 0.5000 0.5000
0.5000 0.5000 0.0000
```

---

[15]
## Er7In2Ag2 (PBE)

Data for an optimized crystal structure of Er7In2Ag2.

## Properties
The magnetic moment comes out at 0.00 μB per cell. The space group is Cmmm (65). For the calculated total energy, the calculation gives -3.9439 eV per atom.

```
Er7In2Ag2
1.0
-4.9252 3.8359 2.8587
-5.0372 -4.2817 -2.9341
1.6535 -4.9803 4.4280
Er Ag In
7 2 2
Direct
0.5000 0.2532 0.5000
0.0000 0.0000 0.0000
0.5000 0.7468 0.5000
0.0000 0.2681 0.5000
0.5000 0.7319 0.0000
0.0000 0.7319 0.5000
0.5000 0.2681 0.0000
0.2914 0.0000 0.7086
0.7086 0.0000 0.2914
0.8239 0.5000 0.8239
0.1761 0.5000 0.1761
```

---

[16]
## Er8InAg2 (PBE)

Data for an optimized crystal structure of Er8InAg2.

## Properties
The magnetic moment comes out at 0.00 μB per cell. The space group is C2/m (12). As for the distance to the lowest polymorph of the same formula: 0.000 eV/atom. For the calculated total energy, the calculation gives -4.2617 eV per atom.

```
Er8InAg2
1.0
-4.2352 -1.6662 -2.3653
3.4369 -7.2744 -1.0296
-2.1255 1.9581 7.9877
Er In Ag
8 1 2
Direct
0.9392 0.2685 0.8785
0.8483 0.7879 0.6966
0.6028 0.4646 0.2055
0.3136 0.0336 0.6272
0.1517 0.2121 0.3034
0.0608 0.7315 0.1215
0.6864 0.9664 0.3728
0.3972 0.5354 0.7945
0.5000 0.0000 0.0000
0.2126 0.6226 0.4252
0.7874 0.3774 0.5748
```

---

[17]
## Er2In3Ag4 (PBE)

Data for an optimized crystal structure of Er2In3Ag4.

## Properties
The magnetic moment comes out at 0.00 μB per cell. The space group is Cmce (64). For the calculated total energy, the calculation gives -3.4028 eV per atom.

```
Er2In3Ag4
1.0
5.9713 0.0000 0.0000
0.0000 7.9239 0.0000
-2.9857 0.0000 8.5756
Ag Er In
8 4 6
Direct
0.3366 0.4818 0.6733
0.3221 0.2500 0.1441
0.8221 0.2500 0.1441
0.6779 0.7500 0.8559
0.8366 0.0182 0.6733
0.1634 0.9818 0.3267
0.1779 0.7500 0.8559
0.6634 0.5182 0.3267
0.0958 0.6077 0.1916
0.4042 0.1077 0.8084
0.5958 0.8923 0.1916
0.9042 0.3923 0.8084
0.5088 0.7500 0.5176
0.5000 0.5000 0.0000
0.9912 0.2500 0.4824
0.0000 0.0000 0.0000
0.4912 0.2500 0.4824
0.0088 0.7500 0.5176
```

---

[18]
## Er2In9Ag (PBE)

Data for an optimized crystal structure of Er2In9Ag.

## Properties
The magnetic moment comes out at 0.00 μB per cell. The space group is P4/mmm (123). For the calculated total energy, the calculation gives -3.2666 eV per atom.

```
Er2In9Ag
1.0
4.6197 0.0000 0.0000
0.0000 4.6197 0.0000
0.0000 0.0000 13.7544
In Er Ag
9 2 1
Direct
0.5000 0.0000 0.8409
0.0000 0.5000 0.5000
0.5000 0.5000 0.3346
0.5000 0.0000 0.1591
0.0000 0.5000 0.8409
0.5000 0.0000 0.5000
0.0000 0.5000 0.1591
0.5000 0.5000 0.6654
0.5000 0.5000 0.0000
0.0000 0.0000 0.6685
0.0000 0.0000 0.3315
0.0000 0.0000 0.0000
```

---

[19]
## ErInAg2 (PBE)

Data for an optimized crystal structure of ErInAg2.

## Properties
The magnetic moment comes out at 0.00 μB per cell. The space group is Fm-3m (225). As for the distance to the lowest polymorph of the same formula: 0.000 eV/atom. For the calculated total energy, the calculation gives -3.6023 eV per atom.

```
ErInAg2
1.0
-2.0647 3.8265 -2.3096
-4.9027 0.4105 -0.1847
-2.2762 3.5078 2.5988
Ag Er In
2 1 1
Direct
0.2500 0.2500 0.2500
0.7500 0.7500 0.7500
0.0000 0.0000 0.0000
0.5000 0.5000 0.5000
```

---

[20]
## Er4InAg2 (PBE)

Data for an optimized crystal structure of Er4InAg2.

## Properties
The magnetic moment comes out at 0.00 μB per cell. The space group is R-3m (166). As for the distance to the lowest polymorph of the same formula: 0.142 eV/atom. For the calculated total energy, the calculation gives -3.8793 eV per atom.

```
Er4InAg2
1.0
4.9438 0.0000 0.0000
2.4719 4.2815 0.0000
2.4719 1.4272 9.4005
Ag Er In
2 4 1
Direct
0.8998 0.8998 0.3006
0.1002 0.1002 0.6994
0.3795 0.3795 0.8615
0.6205 0.6205 0.1385
0.7950 0.7950 0.6149
0.2050 0.2050 0.3851
0.0000 0.0000 0.0000
```